# 1
Be2ReRuPb | PBE-GGA | relaxed

a = 4.3258 Å, b = 4.3258 Å, c = 5.1624 Å
α = 90.00°, β = 90.00°, γ = 90.00°
Space group P4/mmm (No. 123)
Unique sites:
Be (0.0000, 0.5000, 0.0000) x2
Re (0.0000, 0.0000, 0.5000) x1
Ru (0.5000, 0.5000, 0.5000) x1
Pb (0.5000, 0.5000, 0.0000) x1

Computed properties:
ΔE_f = 1068 kJ/mol of formula units



# 2
K2Cd3Hg12Bi | PBE-GGA | relaxed

a = 6.9455 Å, b = 6.9455 Å, c = 39.4502 Å
α = 90.00°, β = 90.00°, γ = 120.00°
Space group R-3m (No. 166, hexagonal axes)
Unique sites:
K (0.0000, 0.0000, 0.1399) x6
Cd (0.0000, 0.5000, 0.0000) x9
Hg (0.0185, 0.5093, 0.8926) x18
Hg (0.0431, 0.5215, 0.6153) x18
Bi (0.0000, 0.0000, 0.5000) x3

Computed properties:
ΔE_f = -102 kJ/mol of formula units



# 3
Re2NiC | PBE-GGA | relaxed

a = 4.5148 Å, b = 4.5148 Å, c = 11.6918 Å
α = 90.00°, β = 90.00°, γ = 90.00°
Space group I-42d (No. 122)
Unique sites:
Re (0.1657, 0.2500, 0.1250) x8
Ni (0.0000, 0.0000, 0.5000) x4
C (0.0000, 0.0000, 0.0000) x4

Computed properties:
ΔE_f = 414 kJ/mol of formula units